This record from Alexandria describes crystalline ZrNpPd at its relaxed geometry. The functional is PBE.

Computed properties:
Formation energy from the elements = -162 meV/atom
V = 20.42 Å³/atom

a = 3.4007 Å, b = 3.4007 Å, c = 10.8662 Å
α = 99.00°, β = 99.00°, γ = 90.00°
Atoms (fractional coordinates):
1 Zr 0.1223 0.1223 0.2446
2 Np 0.7292 0.7292 0.4585
3 Zr 0.8777 0.8777 0.7554
4 Pd 0.5613 0.5613 0.1225
5 Pd 0.4387 0.4387 0.8775
6 Np 0.2708 0.2708 0.5415